CsZrPb3 after structural relaxation. Source: the Alexandria database, functional GGA-PBE.

Structure (CIF):
```
data_CsZrPb3
_chemical_formula_sum 'Cs1 Zr1 Pb3'
_cell_length_a 6.007
_cell_length_b 6.007
_cell_length_c 6.007
_cell_angle_alpha 90.00
_cell_angle_beta 90.00
_cell_angle_gamma 90.00
_symmetry_space_group_name_H-M 'P m -3 m'
_symmetry_Int_Tables_number 221
_symmetry_space_group_name_Hall '-P 4 2 3'
loop_
_atom_site_label
_atom_site_type_symbol
_atom_site_fract_x
_atom_site_fract_y
_atom_site_fract_z
Cs1 Cs 0.000 0.000 0.000
Zr1 Zr 0.500 0.500 0.500
Pb1 Pb 0.000 0.000 0.500
```

## Properties
E_tot in eV/atom: -2.395
DOS(E_F) in states/eV/cell: 7.1
Formation energy in eV per atom: 1.710